A plane-wave DFT calculation with PBE was carried out for an optimized crystal structure of Nd2TmMg4.

The structure belongs to space group I4/mmm (No. 139); the cell edges are 5.5580, 5.5580 and 16.3374 Å and the angles 90.00°, 90.00° and 90.00°. The asymmetric unit holds Nd at (0.0000, 0.0000, 0.1078), Tm at (0.0000, 0.0000, 0.5000), Mg at (0.0000, 0.0000, 0.3157) and Mg at (0.0000, 0.5000, 0.0000).

The distance to the lowest polymorph of the same formula is 488.8 meV per atom. For the calculated formation energy, the calculation gives 0.53 eV/atom.